Record 1
An optimized crystal structure of DyZnP2Rh5. Source: the Alexandria database, functional PBE-GGA.

Output
**M_tot**: 0.0 Bohr magnetons per cell
**N(E_F)**: 4.44 states/eV/f.u.
**Formation energy**: -0.59 eV per atom

Geometry as POSCAR:
```
DyZnP2Rh5
1.0
-1.836 -3.614 0.275
0.094 -0.355 -4.046
8.508 -4.278 0.573
Dy Zn P Rh
1 1 2 5
Cartesian
4.254 -2.139 0.287 Dy
0.000 0.000 0.000 Zn
1.382 -3.118 -1.734 P
5.384 -5.130 -1.464 P
1.424 -0.870 -1.930 Rh
0.459 -2.499 0.230 Rh
7.178 -3.764 -1.543 Rh
6.213 -5.393 0.618 Rh
3.383 -4.124 -1.599 Rh
```

***

Record 2
An optimized crystal structure of Dy2P7Ru12. Source: the Alexandria database, functional PBE-GGA.

Output
**M_tot**: 0.0 Bohr magnetons per cell
**N(E_F)**: 11.94 states/eV/f.u.
**Formation energy**: -0.76 eV per atom

Geometry as POSCAR:
```
Dy2P7Ru12
1.0
3.949 0.000 0.000
0.000 8.154 -4.708
0.000 0.000 9.415
Dy P Ru
2 7 12
Cartesian
1.974 0.000 0.000 Dy
0.000 5.436 0.000 Dy
3.949 2.718 4.708 P
0.000 0.191 7.245 P
0.000 6.178 5.627 P
0.000 1.784 1.251 P
1.974 5.026 2.280 P
1.974 7.615 -0.785 P
1.974 3.666 -1.495 P
1.974 7.259 1.604 Ru
1.974 5.914 -2.381 Ru
1.974 3.135 0.776 Ru
1.974 2.012 6.261 Ru
1.974 4.416 4.542 Ru
1.974 1.726 3.320 Ru
0.000 0.500 4.963 Ru
0.000 4.048 6.500 Ru
0.000 3.605 2.659 Ru
0.000 6.184 3.331 Ru
0.000 7.947 -2.313 Ru
0.000 2.177 -1.018 Ru
```

***

Which value of formation energy does entry 2 give? -0.76 eV per atom

***

Look up the formation energy of the second one. -0.76 eV per atom